P | # PmSc2Sn

A relaxed structure of PmSc2Sn (PBE-GGA, Alexandria).

The structure in extended XYZ format:
```
16
Lattice="7.331 0.000 0.000 0.000 7.331 0.000 0.000 0.000 7.331" Properties=species:S:1:pos:R:3 pbc="T T T"
Pm 0.000 0.000 0.000
Pm 0.000 3.666 3.666
Pm 3.666 0.000 3.666
Pm 3.666 3.666 0.000
Sc 1.833 1.833 1.833
Sc 1.833 1.833 5.498
Sc 1.833 5.498 1.833
Sc 1.833 5.498 5.498
Sc 5.498 1.833 1.833
Sc 5.498 1.833 5.498
Sc 5.498 5.498 1.833
Sc 5.498 5.498 5.498
Sn 0.000 0.000 3.666
Sn 0.000 3.666 0.000
Sn 3.666 0.000 0.000
Sn 3.666 3.666 3.666
```

## Properties
Magnetization: 1.55 μB/f.u.
Space-group type: Fm-3m



Q | # PmSc2Sn

A relaxed structure of PmSc2Sn (PBE-GGA, Alexandria).

The structure in extended XYZ format:
```
16
Lattice="4.448 0.000 0.000 0.000 21.496 0.000 0.000 0.000 4.554" Properties=species:S:1:pos:R:3 pbc="T T T"
Pm 0.000 4.093 1.139
Pm 0.000 17.403 3.416
Pm 2.224 6.655 3.416
Pm 2.224 14.841 1.139
Sc 0.000 1.150 3.416
Sc 0.000 9.446 3.416
Sc 0.000 12.049 1.139
Sc 0.000 20.345 1.139
Sc 2.224 1.301 1.139
Sc 2.224 9.598 1.139
Sc 2.224 11.898 3.416
Sc 2.224 20.194 3.416
Sn 0.000 7.386 1.139
Sn 0.000 14.109 3.416
Sn 2.224 3.361 3.416
Sn 2.224 18.134 1.139
```

## Properties
Magnetization: 0.20 μB/f.u.
Space-group type: Cmcm



Stability, highest: Q



P | # PmSc2Sn

A relaxed structure of PmSc2Sn (PBE-GGA, Alexandria).

The structure in extended XYZ format:
```
4
Lattice="4.682 0.000 0.000 0.000 4.682 0.000 0.000 0.000 4.597" Properties=species:S:1:pos:R:3 pbc="T T T"
Pm 0.000 0.000 0.000
Sc 0.000 2.341 2.298
Sc 2.341 0.000 2.298
Sn 2.341 2.341 0.000
```

## Properties
Magnetization: 0.43 μB/f.u.
Space-group type: P4/mmm



Q | # PmSc2Sn

A relaxed structure of PmSc2Sn (PBE-GGA, Alexandria).

The structure in extended XYZ format:
```
4
Lattice="3.684 0.000 0.000 0.000 3.684 0.000 0.000 0.000 7.629" Properties=species:S:1:pos:R:3 pbc="T T T"
Pm 0.000 0.000 0.000
Sc 1.842 1.842 2.184
Sc 1.842 1.842 5.445
Sn 0.000 0.000 3.815
```

## Properties
Magnetization: 0.00 μB/f.u.
Space-group type: P4/mmm



Stability, highest: P



P | # Tb5Pm2Sc

A relaxed structure of Tb5Pm2Sc (PBE-GGA, Alexandria).

The structure in extended XYZ format:
```
16
Lattice="7.097 0.000 0.000 0.000 14.208 0.000 0.000 0.000 5.001" Properties=species:S:1:pos:R:3 pbc="T T T"
Tb 0.000 0.000 0.000
Tb 0.017 3.583 0.000
Tb 1.770 12.450 2.501
Tb 1.779 5.347 2.501
Tb 3.532 10.687 0.000
Tb 3.548 7.104 0.000
Tb 3.565 3.521 0.000
Tb 5.318 8.861 2.501
Tb 5.327 1.757 2.501
Tb 7.080 10.624 0.000
Pm 1.750 8.857 2.501
Pm 1.798 1.753 2.501
Pm 5.299 12.455 2.501
Pm 5.347 5.351 2.501
Sc 0.000 7.104 0.000
Sc 3.548 0.000 0.000
```

## Properties
Magnetization: 0.00 μB/f.u.
Space-group type: Pbam



Q | # Tb5Pm2Sc

A relaxed structure of Tb5Pm2Sc (PBE-GGA, Alexandria).

The structure in extended XYZ format:
```
16
Lattice="8.010 -4.903 0.000 8.010 4.903 0.000 -1.401 0.000 6.498" Properties=species:S:1:pos:R:3 pbc="T T T"
Tb 6.960 4.302 4.874
Tb 3.224 0.787 0.324
Tb 2.524 -0.787 3.573
Tb 5.221 0.949 5.510
Tb 5.921 -0.949 2.261
Tb 8.699 0.949 4.237
Tb 9.399 -0.949 0.988
Tb 12.096 0.787 2.925
Tb 11.396 -0.787 6.174
Tb 7.660 -4.302 1.625
Pm 6.091 2.385 2.329
Pm 9.230 2.385 0.920
Pm 5.390 -2.385 5.578
Pm 8.529 -2.385 4.169
Sc 3.305 2.452 3.249
Sc 4.005 -2.452 0.000
```

## Properties
Magnetization: 0.00 μB/f.u.
Space-group type: C2/c



Stability, highest: P